Record 1
VASP calculation (PBE) on a relaxed Sm2MgPt crystal.

Properties
E_tot	-4.794	eV/atom
total magnetization	0.0	μB per formula unit

abc: 7.345 7.345 7.345
angles: 90.00 90.00 90.00
Space group Fm-3m (No. 225)
Asymmetric unit:
Sm  0.250  0.250  0.250 x8
Mg  0.000  0.000  0.000 x4
Pt  0.000  0.000  0.500 x4

***

Record 2
VASP calculation (PBE) on a relaxed Sr2ZnCdAu6 crystal.

Properties
E_tot	-2.975	eV/atom
total magnetization	0.0	μB per formula unit

abc: 13.165 5.530 9.323
angles: 90.00 133.22 90.00
Space group C2/m (No. 12)
Asymmetric unit:
Sr  0.248  0.000  0.203 x4
Zn  0.000  0.000  0.500 x2
Cd  0.000  0.500  0.000 x2
Au  0.001  0.249  0.741 x8
Au  0.247  0.000  0.599 x4